No. 1
! PmCuSb, relaxed, DFT PBE; values from VASP
&SYSTEM
  ibrav = 0, nat = 3, ntyp = 3
/
ATOMIC_SPECIES
Pm 145.00 Pm.upf
Cu 63.55 Cu.upf
Sb 121.76 Sb.upf
CELL_PARAMETERS angstrom
0.0000 3.2953 3.2953
3.2953 0.0000 3.2953
3.2953 3.2953 0.0000
ATOMIC_POSITIONS crystal
Pm 0.0000 0.0000 0.0000
Cu 0.2500 0.2500 0.2500
Sb 0.5000 0.5000 0.5000
! **Energy**: -14.78 eV for the cell shown
! **Raw formation energy**: -604 meV/atom
! **Space group**: F-43m, No. 216

=====

No. 2
! PmCuSb2, relaxed, DFT PBE; values from VASP
&SYSTEM
  ibrav = 0, nat = 4, ntyp = 3
/
ATOMIC_SPECIES
Pm 145.00 Pm.upf
Cu 63.55 Cu.upf
Sb 121.76 Sb.upf
CELL_PARAMETERS angstrom
0.0000 3.6723 3.6723
3.6723 0.0000 3.6723
3.6723 3.6723 0.0000
ATOMIC_POSITIONS crystal
Pm 0.0000 0.0000 0.0000
Cu 0.5000 0.5000 0.5000
Sb 0.2500 0.2500 0.2500
Sb 0.7500 0.7500 0.7500
! **Energy**: -17.76 eV for the cell shown
! **Raw formation energy**: -167 meV/atom
! **Space group**: Fm-3m, No. 225

=====

No. 3
! PmCuSb, relaxed, DFT PBE; values from VASP
&SYSTEM
  ibrav = 0, nat = 6, ntyp = 3
/
ATOMIC_SPECIES
Pm 145.00 Pm.upf
Cu 63.55 Cu.upf
Sb 121.76 Sb.upf
CELL_PARAMETERS angstrom
5.6129 -2.1634 0.0000
5.6129 2.1634 0.0000
-4.5120 0.0000 5.7237
ATOMIC_POSITIONS crystal
Pm 0.0452 0.0452 0.2947
Pm 0.9548 0.9548 0.7053
Cu 0.3639 0.3639 0.9276
Cu 0.6361 0.6361 0.0724
Sb 0.3109 0.3109 0.2661
Sb 0.6891 0.6891 0.7339
! **Energy**: -30.03 eV for the cell shown
! **Raw formation energy**: -681 meV/atom
! **Space group**: C2/m, No. 12